# 1
A relaxed CsSm2Te3 crystal, computed with PBE-GGA.

Values from the calculation:
Symmetry: Cmcm (63)
Uncorrected energy in Ry/atom: -0.3345
Formation energy (no corrections) in eV per atom: -1.2650
Excess energy over the best structure of this formula in the dataset in meV/atom: 31

```
CsSm2Te3
1.0
5.297 0.000 0.000
-2.648 8.905 0.000
0.000 0.000 10.744
Te Sm Cs
6 4 2
Cartesian
2.648 7.154 2.686 Te
2.648 1.883 4.885 Te
0.000 7.022 10.257 Te
2.648 1.883 0.486 Te
0.000 1.751 8.058 Te
0.000 7.022 5.858 Te
0.000 8.562 2.686 Sm
2.648 0.343 8.058 Sm
0.000 0.000 0.000 Sm
0.000 0.000 5.372 Sm
0.000 4.058 2.686 Cs
2.648 4.847 8.058 Cs
```

# 2
A relaxed Dy3Ge4Pd7 crystal, computed with PBE-GGA.

Values from the calculation:
ΔE_f in eV/atom: -0.853
Symmetry: C2/m (12)
Uncorrected energy in Ry/atom: -0.4229

```
Dy3Ge4Pd7
1.0
-2.418 -0.405 -3.286
-7.037 -2.752 2.961
-5.416 6.414 0.638
Pd Ge Dy
7 4 3
Cartesian
-5.239 2.324 -1.546 Pd
0.000 0.000 0.000 Pd
-7.777 -0.949 0.726 Pd
-7.095 4.207 -0.412 Pd
-9.633 0.933 1.860 Pd
-4.944 -1.218 1.232 Pd
-9.927 4.476 -0.918 Pd
-5.964 0.049 -0.732 Ge
-4.678 3.981 0.395 Ge
-10.194 -0.723 -0.081 Ge
-8.908 3.208 1.046 Ge
-6.227 1.831 1.800 Dy
-11.899 2.780 0.743 Dy
-2.973 0.478 -0.429 Dy
```

# 3
A relaxed Ca2SeO crystal, computed with PBE-GGA.

Values from the calculation:
Symmetry: P4/nmm (129)
Uncorrected energy in Ry/atom: -0.4071
Formation energy (no corrections) in eV per atom: -2.4277
Excess energy over the best structure of this formula in the dataset in meV/atom: 0

```
Ca2SeO
1.0
-0.802 3.909 1.837
-4.039 -0.017 -1.728
-3.048 -3.993 7.164
Ca Se O
4 2 2
Cartesian
-1.698 0.333 1.175 Ca
-6.192 -0.434 6.099 Ca
-4.754 -1.032 2.745 Ca
-3.136 0.931 4.528 Ca
-4.188 2.189 1.392 Se
-3.702 -2.289 5.881 Se
-2.478 -0.688 3.008 O
-5.412 0.588 4.266 O
```

# 4
A relaxed KCaTe2O crystal, computed with PBE-GGA.

Values from the calculation:
Symmetry: P4/mmm (123)
Uncorrected energy in Ry/atom: -0.2669
Formation energy (no corrections) in eV per atom: -0.7627

```
KCaTe2O
1.0
-1.425 2.155 -4.526
-1.171 -4.298 -1.678
-4.846 0.611 1.817
K Te O Ca
1 2 1 1
Cartesian
-0.586 -2.149 -0.839 K
-2.423 0.306 0.909 Te
-0.713 1.078 -2.263 Te
0.000 0.000 0.000 O
-3.721 -0.766 -2.194 Ca
```

Summary of D(E_F) in states/eV/atom
0.56 0.57 0.00 0.23
(order as listed above)
Summary of density in g/cm3
5.4 10.0 3.4 4.5
(order as listed above)